Entry from Alexandria via LeMat-Bulk: a geometry-optimized Cs2KTl structure (GGA-PBE).

a = 5.443 Å, b = 8.377 Å, c = 14.704 Å
α = 71.66°, β = 79.33°, γ = 71.04°
Element x y z (fractional)
Cs (0.141, 0.387, 0.331)
Cs (0.818, 0.839, 0.525)
Cs (0.496, 0.291, 0.718)
Cs (0.818, 0.340, 0.025)
K (0.185, 0.810, 0.821)
K (0.451, 0.869, 0.229)
Tl (0.076, 0.774, 0.074)
Tl (0.558, 0.908, 0.976)

Computed properties:
**Calculated formation energy**: -25 meV per atom
**SG**: No. 8
**Density of states at the Fermi level**: 7.13 states/eV per cell
**Energy above the most stable polymorph in this dataset**: 0.023 eV/atom
**E**: -1.32 eV per atom